No. 1
The following is a DFT calculation (PBE+U) of crystalline CrGe2Pb3O8 at its relaxed geometry.

abc: 5.7290 5.7290 7.2419
angles: 90.00 90.00 120.00
Space group P-3m1 (No. 164)
Asymmetric unit:
Cr: 0.0000 0.0000 0.0000 (multiplicity 1)
Ge: 0.3333 0.6667 0.7189 (multiplicity 2)
Pb: 0.0000 0.0000 0.5000 (multiplicity 1)
Pb: 0.3333 0.6667 0.1736 (multiplicity 2)
O: 0.1643 0.3286 0.8059 (multiplicity 6)
O: 0.3333 0.6667 0.4774 (multiplicity 2)

=====

No. 2
The following is a DFT calculation (PBE+U) of crystalline CrGePbO4 at its relaxed geometry.

abc: 5.658 5.765 6.786
angles: 90.00 104.34 90.00
Space group P2_1/m (No. 11)
Asymmetric unit:
Cr: 0.219 0.250 0.063 (multiplicity 2)
Ge: 0.267 0.750 0.839 (multiplicity 2)
Pb: 0.271 0.250 0.592 (multiplicity 2)
O: 0.060 0.512 0.800 (multiplicity 4)
O: 0.475 0.750 0.678 (multiplicity 2)
O: 0.490 0.750 0.076 (multiplicity 2)

=====

No. 3
The following is a DFT calculation (PBE+U) of crystalline Cr2GePbO8 at its relaxed geometry.

abc: 6.626 6.509 6.179
angles: 90.00 91.69 90.00
Space group C2/m (No. 12)
Asymmetric unit:
Cr: 0.002 0.000 0.261 (multiplicity 4)
Ge: 0.000 0.500 0.500 (multiplicity 2)
Pb: 0.000 0.500 0.000 (multiplicity 2)
O: 0.002 0.300 0.722 (multiplicity 8)
O: 0.174 0.000 0.994 (multiplicity 4)
O: 0.193 0.000 0.495 (multiplicity 4)

=====

No. 4
The following is a DFT calculation (PBE+U) of crystalline CrGePdO2 at its relaxed geometry.

abc: 3.659 3.659 5.525
angles: 90.00 90.00 90.00
Space group P4/mmm (No. 123)
Asymmetric unit:
Cr: 0.000 0.000 0.000 (multiplicity 1)
Ge: 0.500 0.500 0.500 (multiplicity 1)
Pd: 0.000 0.000 0.500 (multiplicity 1)
O: 0.000 0.500 0.000 (multiplicity 2)

=====

No. 5
The following is a DFT calculation (PBE+U) of crystalline PmCrGeO6 at its relaxed geometry.

abc: 4.803 4.803 9.530
angles: 90.00 90.00 90.00
Space group P4_2nm (No. 102)
Asymmetric unit:
Pm: 0.000 0.000 0.000 (multiplicity 2)
Cr: 0.000 0.000 0.664 (multiplicity 2)
Ge: 0.000 0.000 0.354 (multiplicity 2)
O: 0.172 0.172 0.513 (multiplicity 4)
O: 0.236 0.236 0.826 (multiplicity 4)
O: 0.242 0.242 0.200 (multiplicity 4)

=====

No. 6
The following is a DFT calculation (PBE+U) of crystalline PmCr2GeO8 at its relaxed geometry.

abc: 8.064 5.698 6.949
angles: 90.00 91.84 90.00
Space group C2/m (No. 12)
Asymmetric unit:
Pm: 0.000 0.000 0.000 (multiplicity 2)
Cr: 0.127 0.500 0.279 (multiplicity 4)
Ge: 0.000 0.000 0.500 (multiplicity 2)
O: 0.014 0.226 0.293 (multiplicity 8)
O: 0.207 0.500 0.053 (multiplicity 4)
O: 0.233 0.000 0.526 (multiplicity 4)

=====

No. 7
The following is a DFT calculation (PBE+U) of crystalline PuCr2GeO8 at its relaxed geometry.

abc: 6.481 6.595 6.282
angles: 90.00 90.00 90.00
Space group Cmmm (No. 65)
Asymmetric unit:
Pu: 0.000 0.000 0.000 (multiplicity 2)
Cr: 0.000 0.500 0.264 (multiplicity 4)
Ge: 0.000 0.000 0.500 (multiplicity 2)
O: 0.000 0.194 0.268 (multiplicity 8)
O: 0.187 0.500 0.000 (multiplicity 4)
O: 0.204 0.500 0.500 (multiplicity 4)

=====

No. 8
The following is a DFT calculation (PBE+U) of crystalline RbCrGe2O at its relaxed geometry.

abc: 5.278 5.278 4.003
angles: 90.00 90.00 90.00
Space group P4/mmm (No. 123)
Asymmetric unit:
Rb: 0.000 0.000 0.000 (multiplicity 1)
Cr: 0.500 0.500 0.000 (multiplicity 1)
Ge: 0.000 0.500 0.500 (multiplicity 2)
O: 0.500 0.500 0.500 (multiplicity 1)

=====

No. 9
The following is a DFT calculation (PBE+U) of crystalline RbCr2GeO8 at its relaxed geometry.

abc: 8.686 5.471 8.219
angles: 90.00 95.51 90.00
Space group C2/m (No. 12)
Asymmetric unit:
Rb: 0.000 0.000 0.000 (multiplicity 2)
Cr: 0.126 0.500 0.308 (multiplicity 4)
Ge: 0.000 0.000 0.500 (multiplicity 2)
O: 0.018 0.241 0.334 (multiplicity 8)
O: 0.182 0.500 0.125 (multiplicity 4)
O: 0.218 0.000 0.549 (multiplicity 4)

=====

No. 10
The following is a DFT calculation (PBE+U) of crystalline Rb2CrGeO4 at its relaxed geometry.

abc: 5.465 12.546 20.261
angles: 90.00 90.00 90.00
Space group Fddd (No. 70, origin choice 2)
Asymmetric unit:
Rb: 0.125 0.125 0.305 (multiplicity 16)
Cr: 0.125 0.125 0.125 (multiplicity 8)
Ge: 0.125 0.125 0.625 (multiplicity 8)
O: 0.094 0.285 0.838 (multiplicity 32)

=====

No. 11
The following is a DFT calculation (PBE+U) of crystalline Cr2ReGeO at its relaxed geometry.

abc: 5.058 5.058 3.610
angles: 90.00 90.00 90.00
Space group P4/mmm (No. 123)
Asymmetric unit:
Cr: 0.000 0.500 0.000 (multiplicity 2)
Re: 0.000 0.000 0.500 (multiplicity 1)
Ge: 0.500 0.500 0.000 (multiplicity 1)
O: 0.500 0.500 0.500 (multiplicity 1)

=====

No. 12
The following is a DFT calculation (PBE+U) of crystalline CrReGeO6 at its relaxed geometry.

abc: 4.551 4.551 9.196
angles: 90.00 90.00 90.00
Space group P4_2nm (No. 102)
Asymmetric unit:
Cr: 0.000 0.000 0.000 (multiplicity 2)
Re: 0.000 0.000 0.667 (multiplicity 2)
Ge: 0.000 0.000 0.335 (multiplicity 2)
O: 0.190 0.190 0.500 (multiplicity 4)
O: 0.200 0.200 0.172 (multiplicity 4)
O: 0.200 0.200 0.833 (multiplicity 4)

=====

Calculated values (eV per atom) of uncorrected energy for the records, taken in order: -6.19; -6.47; -6.59; -5.99; -7.00; -7.13; -8.13; -4.42; -6.42; -5.77; -6.27; -7.65.